Compound: BeFeRe2
Source: Alexandria via LeMat-Bulk
Functional: PBE
Structure: optimized geometry

Structure (POSCAR):
```
BeFeRe2
1.0
-0.197 2.671 -0.356
-3.685 -0.296 -0.187
-0.308 0.649 5.033
Re Fe Be
2 1 1
Cartesian
-2.023 1.360 1.069
-0.307 0.647 5.020
-2.165 1.658 3.381
-0.157 0.331 2.569
```

magnetization = 0.28 μB per atom
symmetry = Pmm2 (25)
energy relative to the elements = 0.112 eV per atom
DOS at the Fermi energy = 2.9 states/eV/f.u.